1.
Here is TlCuHg2 after structural relaxation from Alexandria. Energies are from PBE-GGA.

Results
Formation energy from the elements = 0.166 eV per atom
Magnetic moment = 0.000 μB per formula unit

a b c (Å): 6.4841 6.4841 6.4841
angles (deg): 150.50 135.48 54.31
Last column: nearest neighbours and their distance in Å.
Atoms (fractional coordinates):
1 Cu 0.7500 0.2500 0.5000  4 Hg 2.81, 4 Tl 2.96
2 Hg 0.9473 0.9473 0.0000  2 Cu 2.81
3 Hg 0.5527 0.5527 0.0000  2 Cu 2.81
4 Tl 0.2500 0.7500 0.5000  4 Cu 2.96, 2 Tl 3.30

=====

2.
Here is Cs3Cd4Au2 after structural relaxation from Alexandria. Energies are from PBE-GGA.

Results
Formation energy from the elements = -0.163 eV per atom
Magnetic moment = 0.000 μB per formula unit

a b c (Å): 5.0187 7.2639 10.8476
angles (deg): 108.74 90.00 110.21
Last column: nearest neighbours and their distance in Å.
Atoms (fractional coordinates):
1 Cs 0.5955 0.1910 0.6850  8 Cd 3.77-4.22, 3 Au 3.85-3.90, 1 Cs 3.97
2 Cs 0.0000 0.0000 0.0000  6 Cd 3.89-3.99, 4 Au 4.23
3 Cs 0.4045 0.8090 0.3150  8 Cd 3.77-4.22, 3 Au 3.85-3.90, 1 Cs 3.97
4 Cd 0.7302 0.4604 0.0673  1 Au 2.81, 2 Cd 3.04
5 Cd 0.2698 0.5396 0.9327  1 Au 2.81, 2 Cd 3.04
6 Cd 0.8303 0.6606 0.5760  3 Au 2.88-2.94
7 Cd 0.1697 0.3394 0.4240  3 Au 2.88-2.94
8 Au 0.6869 0.3737 0.3031  4 Cd 2.81-2.94
9 Au 0.3131 0.6263 0.6969  4 Cd 2.81-2.94

=====

3.
Here is HfCu2HAu after structural relaxation from Alexandria. Energies are from PBE-GGA.

Results
Total DFT energy (no corrections) = -25.24 eV per formula unit
Magnetic moment = 0.000 μB per formula unit

a b c (Å): 4.0459 4.0459 4.0776
angles (deg): 90.00 90.00 90.00
Last column: nearest neighbours and their distance in Å.
Atoms (fractional coordinates):
1 Hf 0.0000 0.0000 0.5000  2 H 2.04
2 Au 0.5000 0.5000 0.5000  4 Hf 2.86, 8 Cu 2.87
3 Cu 0.0000 0.5000 0.0000  2 H 2.02
4 Cu 0.5000 0.0000 0.0000  2 H 2.02
5 H 0.0000 0.0000 0.0000  4 Cu 2.02, 2 Hf 2.04